Density functional theory data (PBE) for a relaxed LiNd2Bi crystal.

## Properties
Fermi-level density of states	0.816	states/eV per atom
excess energy over the best structure of this formula in the dataset	4	meV/atom
symmetry	P4/mmm (123)
magnetization	0.000	μB/atom
energy relative to the elements	-0.438	eV/atom
total DFT energy (no corrections)	-4.270	eV/atom

Lattice parameters (Å, degrees): 5.1113 5.1113 4.4355 90.00 90.00 90.00
Atoms (fractional coordinates):
Li 0.0000 0.0000 0.0000
Nd 0.0000 0.5000 0.5000
Nd 0.5000 0.0000 0.5000
Bi 0.5000 0.5000 0.0000


Density functional theory data (PBE) for a relaxed LiNd5Bi4 crystal.

## Properties
Fermi-level density of states	0.995	states/eV per atom
symmetry	Pmmn (59)
magnetization	0.114	μB/atom
energy relative to the elements	-0.458	eV/atom
total DFT energy (no corrections)	-4.586	eV/atom

Lattice parameters (Å, degrees): 9.5307 10.0783 7.7481 90.00 90.00 90.00
Atoms (fractional coordinates):
Li 0.2500 0.2500 0.2281
Li 0.7500 0.7500 0.7719
Nd 0.0395 0.5487 0.2531
Nd 0.0395 0.9513 0.2531
Nd 0.2500 0.7500 0.8549
Nd 0.4605 0.5487 0.2531
Nd 0.4605 0.9513 0.2531
Nd 0.5395 0.0487 0.7469
Nd 0.5395 0.4513 0.7469
Nd 0.7500 0.2500 0.1451
Nd 0.9605 0.0487 0.7469
Nd 0.9605 0.4513 0.7469
Bi 0.0012 0.2500 0.4266
Bi 0.2500 0.0589 0.9576
Bi 0.2500 0.4411 0.9576
Bi 0.4988 0.2500 0.4266
Bi 0.5012 0.7500 0.5734
Bi 0.7500 0.5589 0.0424
Bi 0.7500 0.9411 0.0424
Bi 0.9988 0.7500 0.5734